Density functional theory data (PBE-GGA) for an optimized crystal structure of ReSiPb2.

Values from the calculation:
Electronic total energy ... -5.1840 eV/atom
N(E_F) ... 3.64 states/eV/f.u.
Energy relative to the elements, uncorrected ... 1.14 eV/atom

Lattice parameters (Å, degrees): 3.546 4.618 5.208 90.00 90.00 90.00
Space group Pmmm (No. 47)
Inequivalent atoms, fractional coordinates:
Re (0.000, 0.000, 0.000) [1 per cell]
Si (0.500, 0.000, 0.500) [1 per cell]
Pb (0.000, 0.500, 0.500) [1 per cell]
Pb (0.500, 0.500, 0.000) [1 per cell]

***

Density functional theory data (PBE-GGA) for an optimized crystal structure of HgAs3S.

Values from the calculation:
Electronic total energy ... -2.9587 eV/atom
N(E_F) ... 4.39 states/eV/f.u.
Energy relative to the elements, uncorrected ... 0.72 eV/atom

Lattice parameters (Å, degrees): 4.876 4.876 4.876 90.00 90.00 90.00
Space group Pm-3m (No. 221)
Inequivalent atoms, fractional coordinates:
Hg (0.000, 0.000, 0.000) [1 per cell]
As (0.000, 0.500, 0.500) [3 per cell]
S (0.500, 0.500, 0.500) [1 per cell]

***

Density functional theory data (PBE-GGA) for an optimized crystal structure of ScMo2Br.

Values from the calculation:
Electronic total energy ... -7.1416 eV/atom
N(E_F) ... 3.17 states/eV/f.u.
Energy relative to the elements, uncorrected ... 0.28 eV/atom

Lattice parameters (Å, degrees): 10.543 3.262 4.572 90.00 93.34 90.00
Space group C2/m (No. 12)
Inequivalent atoms, fractional coordinates:
Sc (0.000, 0.000, 0.000) [2 per cell]
Mo (0.239, 0.500, 0.193) [4 per cell]
Br (0.000, 0.500, 0.500) [2 per cell]

***

Density functional theory data (PBE-GGA) for an optimized crystal structure of NaNb2CdH.

Values from the calculation:
Electronic total energy ... -4.7743 eV/atom
N(E_F) ... 2.47 states/eV/f.u.

Lattice parameters (Å, degrees): 3.999 3.999 5.183 90.00 90.00 90.00
Space group P4/mmm (No. 123)
Inequivalent atoms, fractional coordinates:
Na (0.000, 0.000, 0.000) [1 per cell]
Nb (0.000, 0.500, 0.500) [2 per cell]
Cd (0.500, 0.500, 0.000) [1 per cell]
H (0.500, 0.500, 0.500) [1 per cell]

***

Density functional theory data (PBE-GGA) for an optimized crystal structure of OsPb2Br.

Values from the calculation:
Electronic total energy ... -4.6066 eV/atom
N(E_F) ... 0.81 states/eV/f.u.
Energy relative to the elements, uncorrected ... 0.47 eV/atom

Lattice parameters (Å, degrees): 3.431 4.293 7.913 90.00 90.00 90.00
Space group Pmm2 (No. 25)
Inequivalent atoms, fractional coordinates:
Os (0.000, 0.000, 0.000) [1 per cell]
Pb (0.000, 0.000, 0.338) [1 per cell]
Pb (0.500, 0.500, 0.962) [1 per cell]
Br (0.500, 0.500, 0.529) [1 per cell]

***

Density functional theory data (PBE-GGA) for an optimized crystal structure of Tl8Bi2Sb.

Values from the calculation:
Electronic total energy ... -2.8162 eV/atom
N(E_F) ... 4.38 states/eV/f.u.
Energy relative to the elements, uncorrected ... -0.01 eV/atom

Lattice parameters (Å, degrees): 5.524 7.823 16.997 90.00 90.00 90.00
Space group Immm (No. 71)
Inequivalent atoms, fractional coordinates:
Tl (0.000, 0.000, 0.175) [4 per cell]
Tl (0.000, 0.244, 0.348) [8 per cell]
Tl (0.000, 0.266, 0.000) [4 per cell]
Bi (0.000, 0.500, 0.179) [4 per cell]
Sb (0.000, 0.500, 0.500) [2 per cell]

***

Density functional theory data (PBE-GGA) for an optimized crystal structure of Mg3Sn2H.

Values from the calculation:
Electronic total energy ... -2.7363 eV/atom
N(E_F) ... 1.58 states/eV/f.u.

Lattice parameters (Å, degrees): 13.227 5.776 6.755 90.00 106.17 90.00
Space group C2/c (No. 15)
Inequivalent atoms, fractional coordinates:
Mg (0.000, 0.114, 0.250) [4 per cell]
Mg (0.120, 0.403, 0.963) [8 per cell]
Sn (0.183, 0.098, 0.632) [8 per cell]
H (0.000, 0.460, 0.250) [4 per cell]

***

Density functional theory data (PBE-GGA) for an optimized crystal structure of SrGaBiRu2.

Values from the calculation:
Electronic total energy ... -3.4168 eV/atom
N(E_F) ... 8.97 states/eV/f.u.
E_form ... 2.01 eV/atom

Lattice parameters (Å, degrees): 4.953 4.953 6.013 90.00 90.00 90.00
Space group P4/mmm (No. 123)
Inequivalent atoms, fractional coordinates:
Sr (0.000, 0.000, 0.000) [1 per cell]
Ga (0.500, 0.500, 0.500) [1 per cell]
Bi (0.000, 0.000, 0.500) [1 per cell]
Ru (0.000, 0.500, 0.000) [2 per cell]